Record 1
# USb2Se5

A relaxed structure of USb2Se5 (PBE, Alexandria via LeMat-Bulk).

The structure in POSCAR format:
```
USb2Se5
1.0
-3.799 0.622 -4.275
-3.707 -6.098 -1.465
-7.188 2.327 2.856
U Sb Se
1 2 5
Direct
0.500 0.500 0.500 U
0.738 0.500 0.023 Sb
0.262 0.500 0.977 Sb
0.227 0.791 0.754 Se
0.481 0.791 0.246 Se
0.000 0.500 0.500 Se
0.773 0.209 0.246 Se
0.519 0.209 0.754 Se
```

Its space group is Fmmm (69). The formation energy without anion corrections is -3.63 eV per formula unit. The calculation puts the total energy at -5.07 eV/atom.

Record 2
# MgPRu

A relaxed structure of MgPRu (PBE, Alexandria via LeMat-Bulk).

The structure in POSCAR format:
```
MgPRu
1.0
3.042 0.000 0.000
-1.521 2.635 0.000
0.000 0.000 6.008
Mg P Ru
1 1 1
Direct
0.000 0.000 0.995 Mg
0.333 0.667 0.377 P
0.667 0.333 0.628 Ru
```

Its space group is P3m1 (156). The calculation puts the formation energy at -308.3 meV per atom. The calculation puts the total energy at -5.74 eV/atom.

Record 3
# Mg3PbBr8

A relaxed structure of Mg3PbBr8 (PBE, Alexandria via LeMat-Bulk).

The structure in POSCAR format:
```
Mg3PbBr8
1.0
-0.125 -0.072 8.115
0.504 -6.981 -4.113
6.677 5.260 0.149
Mg Pb Br
3 1 8
Direct
0.500 0.000 0.000 Mg
0.500 0.500 0.000 Mg
0.000 0.500 0.000 Mg
0.000 0.000 0.000 Pb
0.260 0.520 0.787 Br
0.740 0.480 0.213 Br
0.288 0.030 0.779 Br
0.742 0.030 0.779 Br
0.742 0.484 0.779 Br
0.258 0.516 0.221 Br
0.258 0.970 0.221 Br
0.712 0.970 0.221 Br
```

Its space group is C2/m (12). The formation energy without anion corrections is -15.73 eV per formula unit. The calculation puts the total energy at -3.13 eV/atom.

Record 4
# Y4GeSbTe2

A relaxed structure of Y4GeSbTe2 (PBE, Alexandria via LeMat-Bulk).

The structure in POSCAR format:
```
Y4GeSbTe2
1.0
-4.269 0.605 0.187
-0.681 -6.130 4.283
1.047 6.015 4.426
Y Ge Sb Te
4 1 1 2
Direct
0.500 0.257 0.231 Y
0.500 0.743 0.769 Y
0.000 0.270 0.775 Y
0.000 0.730 0.225 Y
0.500 0.500 0.000 Ge
0.000 0.000 0.000 Sb
0.500 0.000 0.500 Te
0.000 0.500 0.500 Te
```

Its space group is P2/m (10). The formation energy without anion corrections is -10.14 eV per formula unit. The calculation puts the total energy at -6.38 eV/atom.

Record 5
# PmInBiO6

A relaxed structure of PmInBiO6 (PBE, Alexandria via LeMat-Bulk).

The structure in POSCAR format:
```
PmInBiO6
1.0
-0.960 5.021 0.545
-1.870 -0.869 4.709
9.504 1.380 4.030
Pm In Bi O
2 2 2 12
Direct
0.500 0.500 0.499 Pm
0.000 0.000 0.999 Pm
0.500 0.500 0.165 In
0.000 0.000 0.665 In
0.500 0.500 0.834 Bi
0.000 0.000 0.334 Bi
0.182 0.818 0.496 O
0.818 0.182 0.496 O
0.318 0.318 0.996 O
0.682 0.682 0.996 O
0.198 0.802 0.181 O
0.802 0.198 0.181 O
0.302 0.302 0.681 O
0.698 0.698 0.681 O
0.795 0.205 0.824 O
0.205 0.795 0.824 O
0.705 0.705 0.324 O
0.295 0.295 0.324 O
```

Its space group is P4_2nm (102). The formation energy without anion corrections is -14.01 eV per formula unit. The calculation puts the total energy at -6.13 eV/atom.

Record 6
# GaHg2Bi

A relaxed structure of GaHg2Bi (PBE, Alexandria via LeMat-Bulk).

The structure in POSCAR format:
```
GaHg2Bi
1.0
-0.384 -5.123 -1.264
-2.348 -3.377 3.328
-4.710 -2.077 -1.225
Bi Ga Hg
1 1 2
Direct
0.500 0.500 0.500 Bi
0.000 0.000 0.000 Ga
0.250 0.250 0.250 Hg
0.750 0.750 0.750 Hg
```

The value obtained for the energy above the most stable polymorph in this dataset is 4.1 meV/atom. Its space group is Fm-3m (225). The calculation puts the formation energy at 88.5 meV per atom. The calculation puts the total energy at -1.79 eV/atom.